[1]
ZrFeGe2 | PBE-GGA | relaxed

Geometry as POSCAR:
```
ZrFeGe2
1.0
3.764 0.000 0.000
0.000 3.764 0.000
0.000 0.000 9.402
Zr Fe Ge
2 2 4
direct
0.250 0.250 0.234
0.750 0.750 0.766
0.250 0.750 0.500
0.750 0.250 0.500
0.250 0.250 0.672
0.250 0.750 0.000
0.750 0.250 0.000
0.750 0.750 0.328
```

Computed properties:
**Energy**: -7.036 eV per atom
**Formation energy from the elements**: -474.5 meV/atom
**Density of states at the Fermi level**: 4.4 states/eV/cell


[2]
Pr2NdIn3 | PBE-GGA | relaxed

Geometry as POSCAR:
```
Pr2NdIn3
1.0
2.754 -8.262 0.000
2.754 8.262 0.000
0.000 0.000 7.790
Pr Nd In
4 2 6
direct
0.000 0.000 0.000
0.000 0.000 0.500
0.334 0.666 0.000
0.666 0.334 0.000
0.333 0.667 0.500
0.667 0.333 0.500
0.167 0.833 0.252
0.167 0.833 0.748
0.500 0.500 0.252
0.500 0.500 0.748
0.833 0.167 0.252
0.833 0.167 0.748
```

Computed properties:
**Energy**: -4.253 eV per atom
**Energy relative to the lowest polymorph listed for this composition**: 0 meV/atom
**Formation energy from the elements**: -495.9 meV/atom
**Density of states at the Fermi level**: 5.8 states/eV/cell


[3]
MgTl2Os | PBE-GGA | relaxed

Geometry as POSCAR:
```
MgTl2Os
1.0
1.594 -2.689 0.000
1.594 2.689 0.000
0.000 0.000 10.190
Mg Tl Os
1 2 1
direct
0.000 0.000 0.000
0.500 0.500 0.272
0.500 0.500 0.728
0.000 0.000 0.500
```

Computed properties:
**Energy**: -3.667 eV per atom
**Energy relative to the lowest polymorph listed for this composition**: 253 meV/atom
**Formation energy from the elements**: 722.4 meV/atom
**Density of states at the Fermi level**: 3.7 states/eV/cell


[4]
Li2ErBiTe4 | PBE-GGA | relaxed

Geometry as POSCAR:
```
Li2ErBiTe4
1.0
7.505 0.000 0.000
0.000 4.369 0.000
-2.561 0.000 7.149
Li Er Bi Te
2 1 1 4
direct
0.000 0.000 0.000
0.000 0.500 0.500
0.500 0.000 0.500
0.500 0.500 0.000
0.239 0.000 0.740
0.245 0.500 0.253
0.755 0.500 0.747
0.761 0.000 0.260
```

Computed properties:
**Formation energy (no corrections)**: -0.893 eV per atom
**Energy**: -3.997 eV per atom


[5]
NdCdAgIr | PBE-GGA | relaxed

Geometry as POSCAR:
```
NdCdAgIr
1.0
0.000 3.486 3.486
3.486 0.000 3.486
3.486 3.486 0.000
Nd Cd Ag Ir
1 1 1 1
direct
0.000 0.000 0.000
0.500 0.500 0.500
0.750 0.750 0.750
0.250 0.250 0.250
```

Computed properties:
**Energy**: -4.561 eV per atom
**Formation energy from the elements**: -212.6 meV/atom
**Density of states at the Fermi level**: 1.8 states/eV/cell


[6]
FeSeI2 | PBE-GGA | relaxed

Geometry as POSCAR:
```
FeSeI2
1.0
-3.463 3.463 4.932
3.463 -3.463 4.932
3.463 3.463 -4.932
Fe Se I
2 2 4
direct
0.000 0.000 0.000
0.750 0.250 0.500
0.250 0.750 0.500
0.500 0.500 0.000
0.048 0.625 0.923
0.375 0.298 0.423
0.702 0.125 0.077
0.875 0.952 0.577
```

Computed properties:
**Formation energy (no corrections)**: 0.597 eV per atom
**Energy**: -3.164 eV per atom
**Energy relative to the lowest polymorph listed for this composition**: 0 meV/atom
**Density of states at the Fermi level**: 3.7 states/eV/cell


- The lowest energy belongs to which entry?
  ZrFeGe2